(1)
# CrCd2Re

CrCd2Re after structural relaxation (PBE, Alexandria via LeMat-Bulk).

Summary:
M_tot ... 2.32 μB/f.u.
Space-group type ... P4/mmm (123)
Calculated formation energy ... 2.69 eV per formula unit
Raw total energy ... -21.21 eV per cell

abc: 3.9012 3.9012 4.4857
angles: 90.00 90.00 90.00
Last column: nearest neighbours and their distance in Å.
Sites, in units of the cell vectors:
Cr 0.0000 0.0000 0.0000  4 Re 2.76, 8 Cd 2.97
Cd 0.0000 0.5000 0.5000  4 Cd 2.76, 4 Cr 2.97, 4 Re 2.97
Cd 0.5000 0.0000 0.5000  4 Cd 2.76, 4 Cr 2.97, 4 Re 2.97
Re 0.5000 0.5000 0.0000  4 Cr 2.76, 8 Cd 2.97

(2)
# Nd2Ga3Au

Nd2Ga3Au after structural relaxation (PBE, Alexandria via LeMat-Bulk).

Summary:
M_tot ... 0.00 μB/f.u.
Space-group type ... Imm2 (44)
Calculated formation energy ... -4.19 eV per formula unit
Raw total energy ... -26.08 eV per cell

abc: 8.3080 8.3080 8.3080
angles: 151.32 149.37 42.46
Last column: nearest neighbours and their distance in Å.
Sites, in units of the cell vectors:
Nd 0.0000 0.0000 0.0000  8 Ga 3.23-3.41, 4 Au 3.31
Nd 0.7620 0.2620 0.5000  10 Ga 3.23-3.33, 2 Au 3.37
Ga 0.1754 0.6754 0.5000  1 Ga 2.51, 2 Au 2.57
Ga 0.3374 0.8374 0.5000  3 Ga 2.45-2.51
Ga 0.4233 0.4233 0.0000  2 Ga 2.45, 1 Au 2.57
Au 0.5894 0.5894 0.0000  3 Ga 2.57

(3)
# TaMo2Se

TaMo2Se after structural relaxation (PBE, Alexandria via LeMat-Bulk).

Summary:
M_tot ... 0.00 μB/f.u.
Space-group type ... Pm (6)
Raw total energy ... -36.55 eV per cell

abc: 3.0259 4.5592 5.0414
angles: 90.00 104.72 90.00
Last column: nearest neighbours and their distance in Å.
Sites, in units of the cell vectors:
Ta 0.0000 0.0000 0.0000  4 Mo 2.51-2.80
Mo 0.4702 0.0000 0.4892  2 Ta 2.51-2.67, 2 Se 2.58
Mo 0.8066 0.5000 0.2732  3 Se 2.63-2.72, 2 Ta 2.80, 2 Mo 2.83
Se 0.5062 0.5000 0.7354  5 Mo 2.58-2.72, 2 Ta 2.86

(4)
# CoH2Ir

CoH2Ir after structural relaxation (PBE, Alexandria via LeMat-Bulk).

Summary:
M_tot ... 1.51 μB/f.u.
Space-group type ... Fm-3m (225)
Raw total energy ... -20.04 eV per cell

abc: 3.5771 3.5771 3.5771
angles: 60.00 60.00 60.00
Last column: nearest neighbours and their distance in Å.
Sites, in units of the cell vectors:
Co 0.0000 0.0000 0.0000  8 H 2.19
H 0.2500 0.2500 0.2500  4 Co 2.19, 4 Ir 2.19
H 0.7500 0.7500 0.7500  4 Ir 2.19, 4 Co 2.19
Ir 0.5000 0.5000 0.5000  8 H 2.19

(5)
# BaThAg2Br8

BaThAg2Br8 after structural relaxation (PBE, Alexandria via LeMat-Bulk).

Summary:
M_tot ... 0.00 μB/f.u.
Space-group type ... P-1 (2)
Raw total energy ... -44.72 eV per cell

abc: 7.0461 7.5797 9.5218
angles: 71.45 89.80 79.35
Last column: nearest neighbours and their distance in Å.
Sites, in units of the cell vectors:
Ba 0.0000 0.0000 0.0000  6 Br 3.22-3.36
Th 0.0000 0.0000 0.5000  6 Br 2.84-2.90
Ag 0.4991 0.6606 0.8146  3 Br 2.63-2.79
Ag 0.5009 0.3394 0.1854  3 Br 2.63-2.79
Br 0.1076 0.2416 0.2199  1 Th 2.90, 1 Ag 2.99
Br 0.1253 0.2146 0.6659  1 Th 2.85
Br 0.3704 0.7602 0.5355  1 Ag 2.63, 1 Th 2.84
Br 0.4246 0.7347 0.0654  2 Ag 2.65-2.79
Br 0.5754 0.2653 0.9346  2 Ag 2.65-2.79
Br 0.6296 0.2398 0.4645  1 Ag 2.63, 1 Th 2.84
Br 0.8747 0.7854 0.3341  1 Th 2.85
Br 0.8924 0.7584 0.7801  1 Th 2.90, 1 Ag 2.99

(6)
# PmZr2Rh

PmZr2Rh after structural relaxation (PBE, Alexandria via LeMat-Bulk).

Summary:
M_tot ... 0.00 μB/f.u.
Space-group type ... Fm-3m (225)
Calculated formation energy ... -0.32 eV per formula unit
Raw total energy ... -29.51 eV per cell

abc: 4.9076 4.9076 4.9076
angles: 60.00 60.00 60.00
Last column: nearest neighbours and their distance in Å.
Sites, in units of the cell vectors:
Pm 0.0000 0.0000 0.0000  8 Zr 3.01
Zr 0.2500 0.2500 0.2500  4 Rh 3.01, 4 Pm 3.01
Zr 0.7500 0.7500 0.7500  4 Pm 3.01, 4 Rh 3.01
Rh 0.5000 0.5000 0.5000  8 Zr 3.01

(7)
# BaAlCd2Pd

BaAlCd2Pd after structural relaxation (PBE, Alexandria via LeMat-Bulk).

Summary:
M_tot ... 0.00 μB/f.u.
Space-group type ... P4/mmm (123)
Calculated formation energy ... -1.65 eV per formula unit
Raw total energy ... -14.34 eV per cell

abc: 5.3000 5.3000 4.8649
angles: 90.00 90.00 90.00
Last column: nearest neighbours and their distance in Å.
Sites, in units of the cell vectors:
Ba 0.0000 0.0000 0.0000  8 Cd 3.60, 4 Al 3.75
Al 0.5000 0.5000 0.0000  2 Pd 2.43
Cd 0.0000 0.5000 0.5000  2 Pd 2.65
Cd 0.5000 0.0000 0.5000  2 Pd 2.65
Pd 0.5000 0.5000 0.5000  2 Al 2.43, 4 Cd 2.65